# 1
TaCd2Hg | GGA-PBE | relaxed

Formation energy from the elements (meV per atom): 356
Density (g/cm³): 12.28
Density of states at the Fermi level (states/eV/cell): 3.31

```
4
Lattice="-1.2559 2.4975 3.6449 -1.8218 -2.1974 0.8780 3.5801 -3.4545 3.6005" Properties=species:S:1:pos:R:3 pbc="T T T"
Cd -0.0871 -0.1529 0.0748
Cd -0.5879 -0.5262 3.0524
Hg 1.3442 -2.4829 2.1644
Ta 0.7125 -2.8184 5.0711
```

***

# 2
TbCd4Hg4 | GGA-PBE | relaxed

Formation energy from the elements (meV per atom): -63
Density (g/cm³): 10.46
Density of states at the Fermi level (states/eV/cell): 10.36

```
18
Lattice="-6.5738 -0.9503 -0.4606 0.7648 -2.2812 -6.2082 1.1058 -9.3875 3.5856" Properties=species:S:1:pos:R:3 pbc="T T T"
Tb 0.0000 0.0000 0.0000
Tb -2.3516 -6.3095 -1.5416
Cd 0.0306 -10.1815 0.1746
Cd -3.7572 -10.7290 -0.0908
Cd -2.6196 -2.8209 -4.9137
Cd -3.0603 -1.5065 -1.3365
Cd 1.0328 -5.7698 -2.8361
Cd 0.7087 -4.8030 -0.2051
Cd -1.2765 -5.5155 1.8694
Cd -4.0625 -5.9182 1.6742
Hg -1.8718 -9.3569 -2.1028
Hg -2.2445 -8.2451 0.9229
Hg -4.2471 -4.0495 -2.6055
Hg -1.0432 -3.5864 -2.3810
Hg -1.3085 -2.7231 0.8394
Hg -4.6784 -3.2103 0.6033
Hg 0.9986 -7.4518 1.1211
Hg 1.3907 -8.6212 -2.0614
```

***

# 3
Tb4CdHg7 | GGA-PBE | relaxed

Formation energy from the elements (meV per atom): -271
Density (g/cm³): 11.04
Density of states at the Fermi level (states/eV/cell): 7.66

```
12
Lattice="-2.9945 4.4582 -0.2515 -5.8852 -1.1394 -7.5899 -6.2258 -0.7590 3.2077" Properties=species:S:1:pos:R:3 pbc="T T T"
Tb -6.8940 1.8610 0.1403
Tb -8.2115 0.6987 -4.7740
Tb -11.4794 1.8659 -2.6416
Tb -3.6261 0.6938 -1.9921
Cd 0.0000 0.0000 0.0000
Hg -10.7661 2.1758 -5.6417
Hg -4.3395 0.3839 1.0080
Hg -5.2966 -0.5626 -4.3738
Hg -9.8089 3.1223 -0.2599
Hg -8.8617 0.4313 -1.7746
Hg -1.4973 2.2291 -0.1258
Hg -6.2439 2.1284 -2.8592
```

***

# 4
TbCd5Hg6 | GGA-PBE | relaxed

Formation energy from the elements (meV per atom): -105
Density (g/cm³): 11.09
Density of states at the Fermi level (states/eV/cell): 3.97

```
12
Lattice="4.6119 -0.0237 -1.3057 -3.5633 7.4400 -3.7907 0.0227 -0.9560 9.0281" Properties=species:S:1:pos:R:3 pbc="T T T"
Tb 0.0000 0.0000 0.0000
Hg 0.8585 0.3072 3.0757
Hg 1.3690 3.4462 4.9888
Hg 2.5921 1.6988 0.3875
Hg -1.5208 4.7615 3.5441
Hg -0.2977 3.0141 -1.0572
Hg 0.2128 6.1531 0.8560
Cd 1.7357 0.4205 6.2556
Cd -1.1169 1.7121 4.9545
Cd 0.5356 3.2301 1.9658
Cd 2.1882 4.7481 -1.0228
Cd -0.6644 6.0398 -2.3239
```